(1)
HgPdIO2 | GGA-PBEsol | relaxed

Calculated values
VASP energy   -3.1915 eV/atom
Theoretical density   7.08 g/cm3
E_form (uncorrected)   0.5667 eV/atom
Magnetization   1.05 μB/cell

a b c (Å): 3.9929 3.9929 6.8535
angles (deg): 90.00 90.00 90.00
Last column: nearest neighbours and their distance in Å.
Element x y z (fractional)
I 0.0000 0.0000 0.5000  4 Pd 2.82
O 0.5000 0.0000 0.0000  2 Hg 2.00
O 0.0000 0.5000 0.0000  2 Hg 2.00
Hg 0.0000 0.0000 0.0000  4 O 2.00
Pd 0.5000 0.5000 0.5000  4 I 2.82


(2)
Mn2CrSe | GGA-PBEsol | relaxed

Calculated values
VASP energy   -8.0356 eV/atom
Theoretical density   7.99 g/cm3
E_form (uncorrected)   0.3680 eV/atom
Magnetization   0.15 μB/cell

a b c (Å): 2.7678 2.7678 7.7111
angles (deg): 79.66 79.66 60.00
Last column: nearest neighbours and their distance in Å.
Element x y z (fractional)
Mn 0.0004 0.0004 0.9988  3 Mn 2.42, 3 Cr 2.47
Mn 0.7472 0.7472 0.7585  3 Mn 2.42, 3 Se 2.56
Se 0.5022 0.5022 0.4935  3 Cr 2.44, 3 Mn 2.56
Cr 0.2503 0.2503 0.2492  3 Se 2.44, 3 Mn 2.47


(3)
CaNbGa3 | GGA-PBEsol | relaxed

Calculated values
VASP energy   -4.6157 eV/atom
Formation energy from the elements   -0.021 eV/atom
Theoretical density   4.68 g/cm3
Magnetization   0.00 μB/cell

a b c (Å): 4.9514 4.9514 4.9514
angles (deg): 90.00 90.00 90.00
Last column: nearest neighbours and their distance in Å.
Element x y z (fractional)
Ga 0.0000 0.0000 0.5000  2 Nb 2.48
Ga 0.5000 0.0000 0.0000  2 Nb 2.48
Ga 0.0000 0.5000 0.0000  2 Nb 2.48
Ca 0.5000 0.5000 0.5000  12 Ga 3.50
Nb 0.0000 0.0000 0.0000  6 Ga 2.48


(4)
FePb3Cl | GGA-PBEsol | relaxed

Calculated values
VASP energy   -4.6409 eV/atom
Theoretical density   9.31 g/cm3
E_form (uncorrected)   -0.0474 eV/atom
Magnetization   1.03 μB/cell

a b c (Å): 5.0293 5.0293 5.0293
angles (deg): 90.00 90.00 90.00
Last column: nearest neighbours and their distance in Å.
Element x y z (fractional)
Pb 0.5000 0.0000 0.0000  2 Fe 2.51
Pb 0.0000 0.5000 0.0000  2 Fe 2.51
Pb 0.0000 0.0000 0.5000  2 Fe 2.51
Cl 0.5000 0.5000 0.5000  12 Pb 3.56
Fe 0.0000 0.0000 0.0000  6 Pb 2.51


- What is the theoretical density in the second record?
  7.99 g/cm3